[1]
Material: BaAsPdO
Method: DFT, PBE
State: optimized geometry

Output
ΔE to the lowest computed polymorph: 792 meV/atom

Lattice parameters (Å, degrees): 5.7188 5.7188 5.0082 90.00 90.00 90.00
Closest atoms and distances in Å follow each position.
Atoms (fractional coordinates):
Pd 0.2500 0.2500 0.5037  2 As 2.50-2.51
Pd 0.7500 0.7500 0.4963  2 As 2.50-2.51
Ba 0.7500 0.2500 0.5000  2 O 2.50
Ba 0.2500 0.7500 0.5000  2 O 2.50
O 0.7500 0.2500 0.0000  2 Ba 2.50
O 0.2500 0.7500 0.0000  2 Ba 2.50
As 0.2500 0.2500 0.0030  2 Pd 2.50-2.51
As 0.7500 0.7500 0.9970  2 Pd 2.50-2.51

[2]
Material: BaAsPtO
Method: DFT, PBE
State: optimized geometry

Output
Magnetization: 0.01 Bohr magnetons per cell
ΔE to the lowest computed polymorph: 77 meV/atom

Lattice parameters (Å, degrees): 3.4719 8.6378 5.7400 90.00 90.00 90.00
Closest atoms and distances in Å follow each position.
Atoms (fractional coordinates):
Ba 0.0000 0.3631 0.5512  4 O 2.64-2.68
Ba 0.0000 0.6369 0.0512  4 O 2.64-2.68
O 0.5000 0.5717 0.7180  1 Pt 2.06
O 0.5000 0.4283 0.2180  1 Pt 2.06
Pt 0.5000 0.7777 0.5385  1 O 2.06
Pt 0.5000 0.2223 0.0385  1 O 2.06
As 0.0000 0.0364 0.9463  2 Pt 2.42
As 0.0000 0.9636 0.4463  2 Pt 2.42

[3]
Material: BaAsPtO
Method: DFT, PBE
State: optimized geometry

Output
Magnetization: 0.01 Bohr magnetons per cell
ΔE to the lowest computed polymorph: 0 meV/atom

Lattice parameters (Å, degrees): 4.4607 4.4607 9.2762 90.00 90.00 90.00
Closest atoms and distances in Å follow each position.
Atoms (fractional coordinates):
O 0.2500 0.7500 0.0000  4 Ba 2.54
O 0.7500 0.2500 0.0000  4 Ba 2.54
Ba 0.2500 0.2500 0.1312  4 O 2.54
Ba 0.7500 0.7500 0.8688  4 O 2.54
Pt 0.2500 0.7500 0.5000  4 As 2.51
Pt 0.7500 0.2500 0.5000  4 As 2.51
As 0.2500 0.2500 0.6252  4 Pt 2.51
As 0.7500 0.7500 0.3748  4 Pt 2.51

[4]
Material: BaAsPtO
Method: DFT, PBE
State: optimized geometry

Output
Magnetization: 0.00 Bohr magnetons per cell
ΔE to the lowest computed polymorph: 764 meV/atom

Lattice parameters (Å, degrees): 5.9412 5.9412 4.9116 90.00 90.00 90.00
Closest atoms and distances in Å follow each position.
Atoms (fractional coordinates):
O 0.7500 0.2500 0.0000  2 Ba 2.46
O 0.2500 0.7500 0.0000  2 Ba 2.46
As 0.2500 0.2500 0.9918  2 Pt 2.45-2.47
As 0.7500 0.7500 0.0082  2 Pt 2.45-2.47
Pt 0.2500 0.2500 0.4897  2 As 2.45-2.47
Pt 0.7500 0.7500 0.5103  2 As 2.45-2.47
Ba 0.2500 0.7500 0.5000  2 O 2.46
Ba 0.7500 0.2500 0.5000  2 O 2.46

Q: What is the ΔE to the lowest computed polymorph in the fourth record?
A: 764 meV/atom